SrZr2Cd: optimized geometry, GGA-PBE.

Calculated values
ρ = 5.72 Mg/m³
Spin magnetization = 0.00 μB per formula unit
E_form = 23.58 kJ per mole of atoms

a = 10.6538 Å, b = 3.3047 Å, c = 6.4067 Å
α = 90.00°, β = 100.33°, γ = 90.00°
Space group Cm (No. 8)
Unique sites:
1 Sr 0.0000 0.0000 0.0000
2 Zr 0.2245 0.0000 0.6480
3 Zr 0.4874 0.0000 0.5116
4 Cd 0.2568 0.5000 0.2542